[1]
Material: TaTl2Rh
Method: DFT, GGA-PBEsol
State: optimized geometry

a b c (Å): 3.169 3.169 7.322
angles (deg): 90.00 90.00 90.00
Atoms (fractional coordinates):
1 Ta 0.000 0.000 0.000
2 Tl 0.500 0.500 0.269
3 Tl 0.500 0.500 0.731
4 Rh 0.000 0.000 0.500

Results
E above lowest polymorph (meV/atom): 307
Formation energy (eV/atom): 0.38


[2]
Material: Ba2CaMg2
Method: DFT, GGA-PBEsol
State: optimized geometry

a b c (Å): 8.765 8.765 5.497
angles (deg): 90.00 90.00 90.00
Atoms (fractional coordinates):
1 Ba 0.175 0.325 0.000
2 Ba 0.325 0.825 0.000
3 Ba 0.675 0.175 0.000
4 Ba 0.825 0.675 0.000
5 Ca 0.000 0.000 0.500
6 Ca 0.500 0.500 0.500
7 Mg 0.123 0.623 0.500
8 Mg 0.377 0.123 0.500
9 Mg 0.623 0.877 0.500
10 Mg 0.877 0.377 0.500

Results
Formation energy (eV/atom): 0.02


[3]
Material: SrTl3Cl
Method: DFT, GGA-PBEsol
State: optimized geometry

a b c (Å): 6.187 6.187 6.187
angles (deg): 90.00 90.00 90.00
Atoms (fractional coordinates):
1 Sr 0.000 0.000 0.000
2 Tl 0.000 0.000 0.500
3 Tl 0.000 0.500 0.000
4 Tl 0.500 0.000 0.000
5 Cl 0.500 0.500 0.500


[4]
Material: AgSbBr3
Method: DFT, GGA-PBEsol
State: optimized geometry

a b c (Å): 5.526 5.526 5.526
angles (deg): 90.00 90.00 90.00
Atoms (fractional coordinates):
1 Ag 0.000 0.000 0.000
2 Sb 0.500 0.500 0.500
3 Br 0.000 0.500 0.500
4 Br 0.500 0.000 0.500
5 Br 0.500 0.500 0.000


[5]
Material: FeSb2MoAs
Method: DFT, GGA-PBEsol
State: optimized geometry

a b c (Å): 5.249 5.249 4.219
angles (deg): 90.00 90.00 90.00
Atoms (fractional coordinates):
1 Fe 0.000 0.000 0.000
2 Sb 0.000 0.500 0.500
3 Sb 0.500 0.000 0.500
4 Mo 0.500 0.500 0.000
5 As 0.000 0.000 0.500


[6]
Material: KCrMo2
Method: DFT, GGA-PBEsol
State: optimized geometry

a b c (Å): 2.898 2.898 29.468
angles (deg): 90.00 90.00 120.00
Atoms (fractional coordinates):
1 K 0.000 0.000 0.000
2 K 0.333 0.667 0.667
3 K 0.667 0.333 0.333
4 Cr 0.000 0.000 0.500
5 Cr 0.333 0.667 0.167
6 Cr 0.667 0.333 0.833
7 Mo 0.000 0.000 0.229
8 Mo 0.000 0.000 0.771
9 Mo 0.333 0.667 0.438
10 Mo 0.333 0.667 0.895
11 Mo 0.667 0.333 0.105
12 Mo 0.667 0.333 0.562

Results
E above lowest polymorph (meV/atom): 120
Formation energy (eV/atom): 0.96


[7]
Material: MnIn2Se
Method: DFT, GGA-PBEsol
State: optimized geometry

a b c (Å): 3.542 3.542 6.448
angles (deg): 90.00 90.00 90.00
Atoms (fractional coordinates):
1 Mn 0.000 0.000 0.000
2 In 0.500 0.500 0.239
3 In 0.500 0.500 0.761
4 Se 0.000 0.000 0.500


[8]
Material: NaCaTcC2
Method: DFT, GGA-PBEsol
State: optimized geometry

a b c (Å): 4.107 4.107 5.082
angles (deg): 90.00 90.00 90.00
Atoms (fractional coordinates):
1 Na 0.000 0.000 0.000
2 Ca 0.500 0.500 0.000
3 Tc 0.500 0.500 0.500
4 C 0.000 0.500 0.500
5 C 0.500 0.000 0.500

Results
Formation energy (eV/atom): 1.26


[9]
Material: CrSnPd2Se
Method: DFT, GGA-PBEsol
State: optimized geometry

a b c (Å): 4.833 4.833 5.010
angles (deg): 90.00 90.00 90.00
Atoms (fractional coordinates):
1 Cr 0.000 0.000 0.000
2 Sn 0.000 0.000 0.500
3 Pd 0.000 0.500 0.500
4 Pd 0.500 0.000 0.500
5 Se 0.500 0.500 0.000


[10]
Material: BWN2
Method: DFT, GGA-PBEsol
State: optimized geometry

a b c (Å): 4.416 4.416 7.143
angles (deg): 90.00 90.00 90.00
Atoms (fractional coordinates):
1 B 0.000 0.000 0.000
2 B 0.000 0.500 0.250
3 B 0.500 0.000 0.750
4 B 0.500 0.500 0.500
5 W 0.000 0.000 0.500
6 W 0.000 0.500 0.750
7 W 0.500 0.000 0.250
8 W 0.500 0.500 0.000
9 N 0.155 0.250 0.125
10 N 0.250 0.655 0.375
11 N 0.250 0.845 0.875
12 N 0.345 0.250 0.625
13 N 0.655 0.750 0.625
14 N 0.750 0.155 0.875
15 N 0.750 0.345 0.375
16 N 0.845 0.750 0.125


Number 1: DFT total energy -24.41 eV/cell, spin magnetization 0.000 Bohr magnetons per cell. Number 2: DFT total energy -19.55 eV/cell, spin magnetization 0.005 Bohr magnetons per cell. Number 3: DFT total energy -9.49 eV/cell, spin magnetization 0.729 Bohr magnetons per cell. Number 4: DFT total energy -13.18 eV/cell, spin magnetization 0.002 Bohr magnetons per cell. Number 5: DFT total energy -28.33 eV/cell, spin magnetization 5.097 Bohr magnetons per cell. Number 6: DFT total energy -93.26 eV/cell, spin magnetization 0.002 Bohr magnetons per cell. Number 7: DFT total energy -18.84 eV/cell, spin magnetization 3.780 Bohr magnetons per cell. Number 8: DFT total energy -27.77 eV/cell, spin magnetization 0.000 Bohr magnetons per cell. Number 9: DFT total energy -25.62 eV/cell, spin magnetization 3.980 Bohr magnetons per cell. Number 10: DFT total energy -155.62 eV/cell, spin magnetization 0.000 Bohr magnetons per cell.